No. 1
This record from Alexandria via LeMat-Bulk describes crystalline MgGa5Ru6 at its relaxed geometry. The functional is PBE-GGA.

Properties
- E_form (eV per formula unit) = -3.12
- Fermi-level density of states (states/eV per cell) = 13.01
- uncorrected energy (eV/atom) = -6.292

Cell: 7.463 7.463 7.463 Å, 146.48 131.79 59.99°
Sites, in units of the cell vectors:
Mg: 0.000 0.000 0.000
Ga: 0.158 0.658 0.500
Ga: 0.332 0.332 0.000
Ga: 0.500 0.000 0.500
Ga: 0.668 0.668 0.000
Ga: 0.842 0.342 0.500
Ru: 0.085 0.827 0.258
Ru: 0.264 0.500 0.764
Ru: 0.431 0.173 0.258
Ru: 0.569 0.827 0.742
Ru: 0.736 0.500 0.236
Ru: 0.915 0.173 0.742


No. 2
This record from Alexandria via LeMat-Bulk describes crystalline MgGa2Ru at its relaxed geometry. The functional is PBE-GGA.

Properties
- E_form (eV per formula unit) = -0.28
- Fermi-level density of states (states/eV per cell) = 2.30
- uncorrected energy (eV/atom) = -4.300

Cell: 4.472 2.893 5.157 Å, 90.00 90.21 90.00°
Sites, in units of the cell vectors:
Mg: 0.000 0.000 0.000
Ga: 0.499 0.500 0.253
Ga: 0.501 0.500 0.747
Ru: 0.000 0.500 0.500


No. 3
This record from Alexandria via LeMat-Bulk describes crystalline Mg3GaRu at its relaxed geometry. The functional is PBE-GGA.

Properties
- E_form (eV per formula unit) = 4.06
- relative energy among the computed polymorphs (meV/atom) = 434
- Fermi-level density of states (states/eV per cell) = 3.74
- uncorrected energy (eV/atom) = -2.606

Cell: 4.881 4.881 4.881 Å, 90.00 90.00 90.00°
Sites, in units of the cell vectors:
Mg: 0.000 0.000 0.500
Mg: 0.000 0.500 0.000
Mg: 0.500 0.000 0.000
Ga: 0.000 0.000 0.000
Ru: 0.500 0.500 0.500


No. 4
This record from Alexandria via LeMat-Bulk describes crystalline MgGa2Ru at its relaxed geometry. The functional is PBE-GGA.

Properties
- E_form (eV per formula unit) = -0.70
- Fermi-level density of states (states/eV per cell) = 1.62
- uncorrected energy (eV/atom) = -4.405

Cell: 5.364 5.364 5.364 Å, 45.84 45.84 45.84°
Sites, in units of the cell vectors:
Mg: 0.000 0.000 0.000
Ga: 0.565 0.565 0.565
Ga: 0.788 0.788 0.788
Ru: 0.190 0.190 0.190


No. 5
This record from Alexandria via LeMat-Bulk describes crystalline Mg2GaRu at its relaxed geometry. The functional is PBE-GGA.

Properties
- E_form (eV per formula unit) = 0.92
- Fermi-level density of states (states/eV per cell) = 6.89
- uncorrected energy (eV/atom) = -3.642

Cell: 5.826 5.826 5.826 Å, 101.88 101.88 126.05°
Sites, in units of the cell vectors:
Mg: 0.112 0.125 0.487
Mg: 0.375 0.888 0.013
Mg: 0.638 0.625 0.513
Mg: 0.875 0.362 0.987
Ga: 0.250 0.750 0.500
Ga: 0.500 0.500 0.000
Ru: 0.000 0.000 0.000
Ru: 0.750 0.250 0.500


No. 6
This record from Alexandria via LeMat-Bulk describes crystalline Mg4Ga5Ru at its relaxed geometry. The functional is PBE-GGA.

Properties
- E_form (eV per formula unit) = -1.72
- Fermi-level density of states (states/eV per cell) = 3.83
- uncorrected energy (eV/atom) = -3.251

Cell: 6.863 6.863 6.863 Å, 96.92 96.92 139.38°
Sites, in units of the cell vectors:
Mg: 0.000 0.298 0.298
Mg: 0.000 0.702 0.702
Mg: 0.298 0.000 0.298
Mg: 0.702 0.000 0.702
Ga: 0.224 0.224 0.000
Ga: 0.365 0.365 0.626
Ga: 0.365 0.739 0.000
Ga: 0.739 0.365 0.000
Ga: 0.739 0.739 0.374
Ru: 0.731 0.731 0.000